Density functional theory data (GGA-PBE) for a relaxed Ti3ZnCd crystal.

The calculation puts the polymorph energy (0 for the lowest one) at 0.000 eV per atom. The total magnetization is 0.00 μB/f.u. For the total energy, the calculation gives -0.3340 Ry per atom. The value obtained for the density of states at the Fermi level is 0.410 states/eV/atom. For the formation energy, the calculation gives 0.63 eV per atom.

Cell: 4.6978 4.6978 4.6978 Å, 90.00 90.00 90.00°
With the nearest neighbours (Å) after each atom.
Positions (direct):
Zn 0.0000 0.0000 0.0000  6 Ti 2.35
Ti 0.0000 0.5000 0.0000  2 Zn 2.35
Ti 0.0000 0.0000 0.5000  2 Zn 2.35
Ti 0.5000 0.0000 0.0000  2 Zn 2.35
Cd 0.5000 0.5000 0.5000  12 Ti 3.32


Density functional theory data (GGA-PBE) for a relaxed TiZnCd2 crystal.

The total magnetization is 0.00 μB/f.u. For the total energy, the calculation gives -0.1788 Ry per atom. The value obtained for the density of states at the Fermi level is 0.773 states/eV/atom. For the formation energy, the calculation gives 0.32 eV per atom.

Cell: 2.9294 2.9294 10.8267 Å, 82.22 82.22 60.00°
With the nearest neighbours (Å) after each atom.
Positions (direct):
Zn 0.5000 0.5000 0.5000  6 Zn 2.93, 6 Cd 2.98
Ti 0.0000 0.0000 0.0000  2 Cd 2.89, 6 Ti 2.93
Cd 0.0902 0.0902 0.7293  1 Ti 2.89, 6 Cd 2.93, 3 Zn 2.98
Cd 0.9098 0.9098 0.2707  1 Ti 2.89, 6 Cd 2.93, 3 Zn 2.98


Density functional theory data (GGA-PBE) for a relaxed TiZnCd crystal.

The total magnetization is 0.00 μB/f.u. For the total energy, the calculation gives -0.2426 Ry per atom. The value obtained for the density of states at the Fermi level is 0.732 states/eV/atom. For the formation energy, the calculation gives 0.06 eV per atom.

Cell: 2.9275 2.9275 7.2598 Å, 90.00 90.00 120.00°
With the nearest neighbours (Å) after each atom.
Positions (direct):
Zn 0.3333 0.6667 0.6568  3 Ti 2.82, 6 Zn 2.93, 3 Cd 2.99
Ti 0.6667 0.3333 0.3463  3 Zn 2.82, 6 Ti 2.93, 3 Cd 3.05
Cd 0.0000 0.0000 0.9969  6 Cd 2.93, 3 Zn 2.99, 3 Ti 3.05


Density functional theory data (GGA-PBE) for a relaxed TiZnCd2 crystal.

The total magnetization is 0.00 μB/f.u. For the total energy, the calculation gives -0.1947 Ry per atom. The value obtained for the density of states at the Fermi level is 0.850 states/eV/atom. For the formation energy, the calculation gives 0.10 eV per atom.

Cell: 2.9560 2.9560 9.9265 Å, 82.59 82.59 62.01°
With the nearest neighbours (Å) after each atom.
Positions (direct):
Ti 0.5170 0.5170 0.4996  6 Ti 2.96-3.05, 6 Cd 3.00-3.11
Zn 0.6591 0.6591 0.0001  6 Zn 2.96-3.05, 6 Cd 2.96-2.98
Cd 0.0757 0.0757 0.7539  6 Cd 2.96-3.05, 3 Zn 2.96-2.98, 3 Ti 3.00-3.11
Cd 0.2482 0.2482 0.2464  6 Cd 2.96-3.05, 3 Zn 2.96-2.97, 3 Ti 3.02-3.03


Density functional theory data (GGA-PBE) for a relaxed TiZnCd crystal.

The total magnetization is 0.00 μB/f.u. For the total energy, the calculation gives -0.2499 Ry per atom. The value obtained for the density of states at the Fermi level is 0.649 states/eV/atom. For the formation energy, the calculation gives -0.04 eV per atom.

Cell: 2.8745 2.8745 13.0083 Å, 90.01 89.99 90.00°
With the nearest neighbours (Å) after each atom.
Positions (direct):
Ti 0.2501 0.7499 0.9223  4 Zn 2.86, 8 Ti 2.87
Ti 0.7499 0.2501 0.0777  4 Zn 2.86, 8 Ti 2.87
Zn 0.7502 0.2498 0.7673  4 Ti 2.86, 4 Zn 2.87, 4 Cd 2.99-3.00
Zn 0.2498 0.7502 0.2327  4 Ti 2.86, 4 Zn 2.87, 4 Cd 2.99-3.00
Cd 0.7496 0.2504 0.4018  4 Cd 2.87, 4 Zn 2.99-3.00
Cd 0.2504 0.7496 0.5982  4 Cd 2.87, 4 Zn 2.99-3.00


Density functional theory data (GGA-PBE) for a relaxed TiZn2Cd crystal.

The total magnetization is 0.00 μB/f.u. For the total energy, the calculation gives -0.1891 Ry per atom. The value obtained for the density of states at the Fermi level is 0.477 states/eV/atom. For the formation energy, the calculation gives 0.27 eV per atom.

Cell: 7.2417 7.2417 5.8618 Å, 51.85 51.85 90.00°
With the nearest neighbours (Å) after each atom.
Positions (direct):
Zn 0.6228 0.1250 0.2500  2 Ti 2.65, 2 Cd 2.67, 2 Zn 2.85
Zn 0.1272 0.6250 0.2500  2 Ti 2.65, 2 Cd 2.67, 2 Zn 2.85
Zn 0.3750 0.3772 0.7500  2 Ti 2.65, 2 Cd 2.67, 2 Zn 2.85
Zn 0.8750 0.8728 0.7500  2 Ti 2.65, 2 Cd 2.67, 2 Zn 2.85
Ti 0.5000 0.5000 0.0000  4 Zn 2.65, 2 Cd 2.85
Ti 0.2500 0.7500 0.5000  4 Zn 2.65, 2 Cd 2.85
Cd 0.0000 0.0000 0.0000  4 Zn 2.67, 2 Ti 2.85
Cd 0.7500 0.2500 0.5000  4 Zn 2.67, 2 Ti 2.85